Below is a geometry-optimized Tb2GdFe2B2N3 structure, with properties calculated at the GGA-PBE level.

total moment	2.405	μB/f.u.
uncorrected energy	-8.026	eV per atom

Geometry as CIF:
```
data_Tb2GdFe2B2N3
_cell_length_a 3.467
_cell_length_b 3.467
_cell_length_c 20.505
_cell_angle_alpha 90.00
_cell_angle_beta 90.00
_cell_angle_gamma 90.00
_space_group_name_H-M_alt 'I 4/m m m'
_space_group_IT_number 139
_space_group_name_Hall '-I 4 2'
loop_
_atom_site_label
_atom_site_fract_x
_atom_site_fract_y
_atom_site_fract_z
Tb1 0.000 0.000 0.123
Gd1 0.000 0.000 0.500
Fe1 0.000 0.500 0.250
B1 0.000 0.000 0.312
N1 0.000 0.000 0.000
N2 0.000 0.000 0.384
```


Below is a geometry-optimized TbGd2Fe2B2N3 structure, with properties calculated at the GGA-PBE level.

total moment	2.430	μB/f.u.
uncorrected energy	-8.024	eV per atom

Geometry as CIF:
```
data_TbGd2Fe2B2N3
_cell_length_a 3.479
_cell_length_b 3.479
_cell_length_c 20.463
_cell_angle_alpha 90.00
_cell_angle_beta 90.00
_cell_angle_gamma 90.00
_space_group_name_H-M_alt 'I 4/m m m'
_space_group_IT_number 139
_space_group_name_Hall '-I 4 2'
loop_
_atom_site_label
_atom_site_fract_x
_atom_site_fract_y
_atom_site_fract_z
Tb1 0.000 0.000 0.000
Gd1 0.000 0.000 0.377
Fe1 0.000 0.500 0.250
B1 0.000 0.000 0.188
N1 0.000 0.000 0.116
N2 0.000 0.000 0.500
```


Below is a geometry-optimized Gd2YFe2B2N3 structure, with properties calculated at the GGA-PBE level.

total moment	2.439	μB/f.u.
uncorrected energy	-8.211	eV per atom

Geometry as CIF:
```
data_Gd2YFe2B2N3
_cell_length_a 3.473
_cell_length_b 3.473
_cell_length_c 20.458
_cell_angle_alpha 90.00
_cell_angle_beta 90.00
_cell_angle_gamma 90.00
_space_group_name_H-M_alt 'I 4/m m m'
_space_group_IT_number 139
_space_group_name_Hall '-I 4 2'
loop_
_atom_site_label
_atom_site_fract_x
_atom_site_fract_y
_atom_site_fract_z
Gd1 0.000 0.000 0.123
Y1 0.000 0.000 0.500
Fe1 0.000 0.500 0.250
B1 0.000 0.000 0.312
N1 0.000 0.000 0.000
N2 0.000 0.000 0.385
```


Below is a geometry-optimized GdYFe2B2N2 structure, with properties calculated at the GGA-PBE level.

total moment	2.395	μB/f.u.
uncorrected energy	-8.222	eV per atom

Geometry as CIF:
```
data_GdYFe2B2N2
_cell_length_a 3.465
_cell_length_b 3.465
_cell_length_c 7.735
_cell_angle_alpha 90.00
_cell_angle_beta 90.00
_cell_angle_gamma 90.00
_space_group_name_H-M_alt 'P 4 m m'
_space_group_IT_number 99
loop_
_space_group_symop_operation_xyz
'x,y,z'
'-y,x,z'
'-x,-y,z'
'y,-x,z'
'-x,y,z'
'y,x,z'
'x,-y,z'
'-y,-x,z'
loop_
_atom_site_label
_atom_site_fract_x
_atom_site_fract_y
_atom_site_fract_z
Gd1 0.000 0.000 0.000
Y1 0.500 0.500 0.668
Fe1 0.000 0.500 0.334
B1 0.000 0.000 0.498
B2 0.500 0.500 0.169
N1 0.000 0.000 0.690
N2 0.500 0.500 0.976
```


Below is a geometry-optimized GdFe2BP structure, with properties calculated at the GGA-PBE level.

total moment	0.032	μB/f.u.
uncorrected energy	-7.391	eV per atom

Geometry as CIF:
```
data_GdFe2BP
_cell_length_a 3.722
_cell_length_b 3.722
_cell_length_c 9.590
_cell_angle_alpha 90.00
_cell_angle_beta 90.00
_cell_angle_gamma 90.00
_space_group_name_H-M_alt 'I 4 m m'
_space_group_IT_number 107
_space_group_name_Hall 'I 4 -2'
loop_
_atom_site_label
_atom_site_fract_x
_atom_site_fract_y
_atom_site_fract_z
Gd1 0.000 0.000 0.000
Fe1 0.000 0.500 0.239
B1 0.000 0.000 0.650
P1 0.000 0.000 0.356
```


Below is a geometry-optimized GdFe2SiB structure, with properties calculated at the GGA-PBE level.

total moment	1.206	μB/f.u.
uncorrected energy	-7.151	eV per atom

Geometry as CIF:
```
data_GdFe2SiB
_cell_length_a 3.761
_cell_length_b 3.761
_cell_length_c 9.549
_cell_angle_alpha 90.00
_cell_angle_beta 90.00
_cell_angle_gamma 90.00
_space_group_name_H-M_alt 'I 4 m m'
_space_group_IT_number 107
_space_group_name_Hall 'I 4 -2'
loop_
_atom_site_label
_atom_site_fract_x
_atom_site_fract_y
_atom_site_fract_z
Gd1 0.000 0.000 0.000
Fe1 0.000 0.500 0.271
Si1 0.000 0.000 0.642
B1 0.000 0.000 0.367
```


Below is a geometry-optimized Fe6Ge2B structure, with properties calculated at the GGA-PBE level.

total moment	12.746	μB/f.u.
uncorrected energy	-7.503	eV per atom

Geometry as CIF:
```
data_Fe6Ge2B
_cell_length_a 6.3064
_cell_length_b 6.3064
_cell_length_c 2.9912
_cell_angle_alpha 90.00
_cell_angle_beta 90.00
_cell_angle_gamma 120.00
_space_group_name_H-M_alt 'P -6 2 m'
_space_group_IT_number 189
_space_group_name_Hall 'P -6 -2'
loop_
_atom_site_label
_atom_site_fract_x
_atom_site_fract_y
_atom_site_fract_z
Fe1 0.0000 0.2363 0.0000
Fe2 0.0000 0.6241 0.5000
Ge1 0.3333 0.6667 0.0000
B1 0.0000 0.0000 0.5000
```


Below is a geometry-optimized FeGeB structure, with properties calculated at the GGA-PBE level.

energy relative to the lowest polymorph listed for this composition	182	meV per atom
total moment	0.018	μB/f.u.
uncorrected energy	-5.999	eV per atom

Geometry as CIF:
```
data_FeGeB
_cell_length_a 5.216
_cell_length_b 5.216
_cell_length_c 5.216
_cell_angle_alpha 90.00
_cell_angle_beta 90.00
_cell_angle_gamma 90.00
_space_group_name_H-M_alt 'F -4 3 m'
_space_group_IT_number 216
_space_group_name_Hall 'F -4 2 3'
loop_
_atom_site_label
_atom_site_fract_x
_atom_site_fract_y
_atom_site_fract_z
Fe1 0.000 0.000 0.000
Ge1 0.250 0.250 0.250
B1 0.250 0.250 0.750
```